No. 1
An optimized crystal structure of HfNbAsBr2. Source: Alexandria, functional GGA-PBE.

Cell lengths 5.1236, 5.1236, 5.3298 Å; angles 90.00, 90.00, 90.00 degrees
Last column: magnetic moment on the atom in μB.
Sites, in units of the cell vectors:
Br (0.5000, 0.0000, 0.0000)  0.01
Br (0.0000, 0.5000, 0.0000)  0.01
Hf (0.0000, 0.0000, 0.0000)  -0.01
As (0.0000, 0.0000, 0.5000)  -0.08
Nb (0.5000, 0.5000, 0.5000)  2.87

- N(E_F) (states/eV/f.u.) = 6.7
- total DFT energy (no corrections) (eV/f.u.) = -26.025
- calculated volume (Å³ per atom) = 28.0
- relative energy among the computed polymorphs (eV per formula unit) = 0.00
- energy relative to the elements, uncorrected (eV/atom) = 0.40

=====

No. 2
An optimized crystal structure of PRuN2. Source: Alexandria, functional GGA-PBE.

Cell lengths 4.4812, 4.4812, 5.1251 Å; angles 64.08, 64.08, 90.00 degrees
Sites, in units of the cell vectors:
N (0.2100, 0.6250, 0.2500)
N (0.3750, 0.4600, 0.7500)
N (0.8750, 0.7900, 0.7500)
N (0.5400, 0.1250, 0.2500)
Ru (0.0000, 0.0000, 0.0000)
Ru (0.7500, 0.2500, 0.5000)
P (0.5000, 0.5000, 0.0000)
P (0.2500, 0.7500, 0.5000)

- N(E_F) (states/eV/f.u.) = 1.7
- total DFT energy (no corrections) (eV/f.u.) = -30.099
- calculated volume (Å³ per atom) = 10.1
- energy relative to the elements, uncorrected (eV/atom) = 0.31

=====

No. 3
An optimized crystal structure of LaAlSn2. Source: Alexandria, functional GGA-PBE.

Cell lengths 4.8155, 4.8155, 10.8311 Å; angles 77.16, 77.16, 90.00 degrees
Sites, in units of the cell vectors:
Sn (0.5578, 0.1250, 0.2500)
Sn (0.8750, 0.8078, 0.7500)
Sn (0.3750, 0.4422, 0.7500)
Sn (0.1922, 0.6250, 0.2500)
Al (0.2500, 0.7500, 0.5000)
Al (0.5000, 0.5000, 0.0000)
La (0.7500, 0.2500, 0.5000)
La (0.0000, 0.0000, 0.0000)

- N(E_F) (states/eV/f.u.) = 3.6
- total DFT energy (no corrections) (eV/f.u.) = -17.339
- calculated volume (Å³ per atom) = 29.8
- E_form (eV/atom) = -0.166

=====

No. 4
An optimized crystal structure of ErSi2OsRh. Source: Alexandria, functional GGA-PBE.

Cell lengths 4.1258, 4.1258, 5.6639 Å; angles 111.36, 111.36, 90.00 degrees
Sites, in units of the cell vectors:
Rh (0.2500, 0.7500, 0.5000)
Si (0.3743, 0.3743, 0.7487)
Si (0.6257, 0.6257, 0.2513)
Os (0.7500, 0.2500, 0.5000)
Er (0.0000, 0.0000, 0.0000)

- N(E_F) (states/eV/f.u.) = 1.8
- total DFT energy (no corrections) (eV/f.u.) = -38.690
- calculated volume (Å³ per atom) = 16.5
- energy relative to the elements, uncorrected (eV/atom) = -0.94

=====

No. 5
An optimized crystal structure of TaOsNO2. Source: Alexandria, functional GGA-PBE.

Cell lengths 3.8777, 3.8777, 3.8808 Å; angles 90.00, 90.00, 90.00 degrees
Sites, in units of the cell vectors:
O (0.5000, 0.0000, 0.0000)
O (0.0000, 0.5000, 0.0000)
Os (0.0000, 0.0000, 0.0000)
N (0.0000, 0.0000, 0.5000)
Ta (0.5000, 0.5000, 0.5000)

- N(E_F) (states/eV/f.u.) = 5.1
- total DFT energy (no corrections) (eV/f.u.) = -39.636
- calculated volume (Å³ per atom) = 11.7
- energy relative to the elements, uncorrected (eV/atom) = 0.34

=====

No. 6
An optimized crystal structure of Hf3Ti4Te4. Source: Alexandria, functional GGA-PBE.

Cell lengths 5.0742, 3.4220, 13.8683 Å; angles 97.09, 100.54, 90.00 degrees
Sites, in units of the cell vectors:
Ti (0.1900, 0.6900, 0.3800)
Ti (0.8100, 0.3100, 0.6200)
Ti (0.5412, 0.5412, 0.0824)
Ti (0.4588, 0.4588, 0.9176)
Te (0.9078, 0.4078, 0.8156)
Te (0.2788, 0.2788, 0.5577)
Te (0.7212, 0.7212, 0.4423)
Te (0.0922, 0.5922, 0.1844)
Hf (0.0000, 0.0000, 0.0000)
Hf (0.3716, 0.8716, 0.7432)
Hf (0.6284, 0.1284, 0.2568)

- N(E_F) (states/eV/f.u.) = 12.3
- total DFT energy (no corrections) (eV/f.u.) = -75.923
- calculated volume (Å³ per atom) = 21.4
- energy relative to the elements, uncorrected (eV/atom) = -0.17